No. 1
A relaxed RbMg6Sb crystal, computed with GGA-PBE.

Properties
Final energy in Ry/atom: -0.1324
Density of states at the Fermi level in states/eV/cell: 2.7
Space group: Amm2 (38)
Uncorrected formation energy in eV/atom: 0.03
Energy relative to the lowest polymorph listed for this composition in eV per formula unit: 0.00
Total magnetization in μB per cell: 0.0

a = 9.3032 Å, b = 9.3032 Å, c = 5.0733 Å
α = 90.00°, β = 90.00°, γ = 141.05°
Closest atoms and distances in Å follow each position.
Fractional positions:
Mg1 0.6161 0.3839 0.0000  8 Mg 3.08-3.25
Mg2 0.1128 0.8872 0.0000  8 Mg 3.06-3.15
Mg3 0.8222 0.6796 0.5000  1 Sb 3.01, 8 Mg 3.06-3.26
Sb1 0.4243 0.5757 0.5000  6 Mg 3.01-3.04
Mg4 0.7122 0.8026 0.0000  6 Mg 3.01-3.26, 2 Sb 3.04
Mg5 0.3204 0.1778 0.5000  1 Sb 3.01, 8 Mg 3.06-3.26
Rb1 0.7946 0.2054 0.5000  2 Sb 3.85, 8 Mg 4.03-4.21
Mg6 0.1974 0.2878 0.0000  6 Mg 3.01-3.26, 2 Sb 3.04

No. 2
A relaxed Sm2DyYS6 crystal, computed with GGA-PBE.

Properties
Final energy in Ry/atom: -0.4832
Density of states at the Fermi level in states/eV/cell: 0.0
Space group: R3 (146)
Uncorrected formation energy in eV/atom: -2.05
Total magnetization in μB per cell: 0.0

a = 7.0087 Å, b = 7.0087 Å, c = 7.4101 Å
α = 61.77°, β = 61.77°, γ = 59.99°
Closest atoms and distances in Å follow each position.
Fractional positions:
S1 0.1107 0.4269 0.7553  1 Y 2.72, 2 Sm 2.78-2.86, 1 Dy 2.78
Sm1 0.0198 0.0198 0.9407  6 S 2.78-2.86
Dy1 0.3162 0.3161 0.0515  6 S 2.72-2.78
S2 0.2075 0.9274 0.2550  1 Dy 2.72, 2 Sm 2.78-2.86, 1 Y 2.79
Y1 0.8161 0.8161 0.5516  6 S 2.72-2.79
S3 0.6100 0.2076 0.2550  1 Dy 2.72, 2 Sm 2.78-2.86, 1 Y 2.79
S4 0.4268 0.7072 0.7553  1 Y 2.72, 2 Sm 2.78-2.86, 1 Dy 2.78
S5 0.7072 0.1107 0.7553  1 Y 2.72, 2 Sm 2.78-2.86, 1 Dy 2.78
S6 0.9275 0.6101 0.2550  1 Dy 2.72, 2 Sm 2.78-2.86, 1 Y 2.79
Sm2 0.5198 0.5198 0.4406  6 S 2.78-2.86

No. 3
A relaxed HfInPtO6 crystal, computed with GGA-PBE.

Properties
Final energy in Ry/atom: -0.5205
Density of states at the Fermi level in states/eV/cell: 11.6
Space group: P4_2nm (102)
Uncorrected formation energy in eV/atom: -1.69
Total magnetization in μB per cell: 0.0

a = 4.8141 Å, b = 4.8141 Å, c = 9.7575 Å
α = 90.00°, β = 90.00°, γ = 90.00°
Closest atoms and distances in Å follow each position.
Fractional positions:
O1 0.2915 0.2915 0.3253  1 Pt 1.99, 1 Hf 2.09, 1 In 2.21
O2 0.6839 0.6839 0.9961  1 Pt 2.02, 1 Hf 2.09, 1 In 2.15
O3 0.3062 0.3062 0.6785  1 Pt 2.01, 1 Hf 2.09, 1 In 2.19
O4 0.2085 0.7915 0.8253  1 Pt 1.99, 1 Hf 2.09, 1 In 2.21
Pt1 0.5000 0.5000 0.8332  6 O 1.99-2.02
O5 0.1839 0.8161 0.4961  1 Pt 2.02, 1 Hf 2.09, 1 In 2.15
O6 0.8161 0.1839 0.4961  1 Pt 2.02, 1 Hf 2.09, 1 In 2.15
O7 0.3161 0.3161 0.9961  1 Pt 2.02, 1 Hf 2.09, 1 In 2.15
Hf1 0.0000 0.0000 0.6677  6 O 2.09
O8 0.7915 0.2085 0.8253  1 Pt 1.99, 1 Hf 2.09, 1 In 2.21
O9 0.8062 0.1938 0.1785  1 Pt 2.01, 1 Hf 2.09, 1 In 2.19
O10 0.1938 0.8062 0.1785  1 Pt 2.01, 1 Hf 2.09, 1 In 2.19
In1 0.5000 0.5000 0.4993  6 O 2.15-2.21
O11 0.6938 0.6938 0.6785  1 Pt 2.01, 1 Hf 2.09, 1 In 2.19
In2 0.0000 0.0000 0.9993  6 O 2.15-2.21
O12 0.7085 0.7085 0.3253  1 Pt 1.99, 1 Hf 2.09, 1 In 2.21
Hf2 0.5000 0.5000 0.1677  6 O 2.09
Pt2 0.0000 0.0000 0.3332  6 O 1.99-2.02